PrEr2Al | PBE | relaxed

Cell lengths 3.5189, 8.1668, 16.4455 Å; angles 90.00, 90.00, 90.00 degrees
Atoms (fractional coordinates):
Al: 0.7500 0.8302 0.1351
Al: 0.7500 0.6698 0.6351
Al: 0.2500 0.3302 0.3649
Al: 0.2500 0.1698 0.8649
Pr: 0.7500 0.1934 0.2208
Pr: 0.7500 0.3066 0.7208
Pr: 0.2500 0.6934 0.2792
Pr: 0.2500 0.8066 0.7792
Er: 0.7500 0.3328 0.5131
Er: 0.2500 0.8328 0.9869
Er: 0.7500 0.9967 0.4022
Er: 0.2500 0.4967 0.0978
Er: 0.2500 0.6672 0.4869
Er: 0.2500 0.0033 0.5978
Er: 0.7500 0.1672 0.0131
Er: 0.7500 0.5033 0.9022

Summary:
uncorrected energy: -71.4 eV for the cell shown
crystal system: orthorhombic


PrEr2Al3 | PBE | relaxed

Cell lengths 3.6115, 3.6115, 11.0084 Å; angles 90.00, 90.00, 90.00 degrees
Atoms (fractional coordinates):
Al: 0.0000 0.0000 0.6834
Al: 0.0000 0.0000 0.3166
Al: 0.0000 0.0000 0.0000
Er: 0.5000 0.5000 0.8402
Er: 0.5000 0.5000 0.1598
Pr: 0.5000 0.5000 0.5000

Summary:
uncorrected energy: -27.4 eV for the cell shown
crystal system: tetragonal


Pr2Er3Al2 | PBE | relaxed

Cell lengths 5.3420, 5.3426, 8.5297 Å; angles 108.29, 90.00, 120.00 degrees
Atoms (fractional coordinates):
Er: 0.3489 0.6978 0.5466
Er: 0.5000 0.0000 0.0000
Er: 0.6511 0.3022 0.4534
Pr: 0.0864 0.1728 0.7588
Pr: 0.9136 0.8272 0.2412
Al: 0.2207 0.4415 0.1628
Al: 0.7793 0.5585 0.8372

Summary:
uncorrected energy: -32.0 eV for the cell shown
crystal system: trigonal


Pr2ErAl | PBE | relaxed

Cell lengths 3.6013, 3.6013, 9.2886 Å; angles 90.00, 90.00, 90.00 degrees
Atoms (fractional coordinates):
Er: 0.5000 0.5000 0.5000
Pr: 0.0000 0.0000 0.2173
Pr: 0.0000 0.0000 0.7827
Al: 0.5000 0.5000 0.0000

Summary:
uncorrected energy: -18.4 eV for the cell shown
crystal system: tetragonal


no.,D(E_F) (states/eV/cell)
1,17.29
2,2.44
3,4.88
4,4.38